! AcCrSbO6 PBE with a Hubbard U relaxed; values from VASP
! Theoretical density (g cm⁻³): 6.38
! E_tot (eV/atom): -7.163
! Symmetry: No. 163
! Crystal system: trigonal
&SYSTEM
  ibrav = 0, nat = 18, ntyp = 4
/
ATOMIC_SPECIES
Ac 227.00 Ac.upf
Cr 52.00 Cr.upf
Sb 121.76 Sb.upf
O 16.00 O.upf
CELL_PARAMETERS angstrom
5.2597 0.0000 0.0000
-2.6298 4.5550 0.0000
0.0000 0.0000 10.7970
ATOMIC_POSITIONS angstrom
Ac 0.0000 0.0000 0.0000
Ac 0.0000 0.0000 5.3985
Cr 0.0000 3.0367 2.6992
Cr 2.6298 1.5183 8.0977
Sb 0.0000 3.0367 8.0977
Sb 2.6298 1.5183 2.6992
O -0.9745 1.7455 1.5820
O -1.6055 2.8383 3.8165
O 0.9745 1.7455 3.8165
O -0.6309 4.5262 1.5820
O 1.9989 0.0288 6.9804
O 1.0243 1.7167 9.2150
O 1.6055 2.8383 1.5820
O 0.6309 4.5262 3.8165
O 3.2608 0.0288 9.2150
O 1.6553 2.8095 6.9804
O 4.2353 1.7167 6.9804
O 3.6044 2.8095 9.2150